This record from Alexandria describes a geometry-optimized ScMnIO2 structure. The functional is GGA+U.

```
ScMnIO2
1.0
4.1097 0.0000 0.0000
0.0000 4.1097 0.0000
0.0000 0.0000 5.8596
Sc Mn I O
1 1 1 2
direct
0.0000 0.0000 0.0000
0.5000 0.5000 0.5000
0.0000 0.0000 0.5000
0.0000 0.5000 0.0000
0.5000 0.0000 0.0000
```

Computed properties:
Symmetry ... No. 123
ρ ... 4.3 g/cm3
E ... -0.232 Ha/atom
Fermi-level density of states ... 0.330 states/eV/atom